Entry 1:
The following is a GGA-PBE calculation of a geometry-optimized Rb2AgSnBr5 structure, from Alexandria via LeMat-Bulk.

Output
DOS at the Fermi energy   0.000 states/eV/atom
Final energy   -3.03 eV/atom
Magnetization   0.00 μB per formula unit

a b c (Å): 10.2880 10.2880 14.3653
angles (deg): 90.00 90.00 154.50
Fractional coordinates of all 18 atoms:
Rb (0.1087, 0.8913, 0.5000)
Rb (0.1276, 0.8724, 0.1267)
Rb (0.8724, 0.1276, 0.6267)
Rb (0.8913, 0.1087, 0.0000)
Ag (0.4534, 0.5466, 0.2644)
Ag (0.5466, 0.4534, 0.7644)
Sn (0.2079, 0.7921, 0.8305)
Sn (0.7921, 0.2079, 0.3305)
Br (0.0502, 0.9498, 0.8638)
Br (0.2846, 0.7154, 0.4721)
Br (0.3052, 0.6948, 0.1876)
Br (0.3497, 0.6503, 0.8166)
Br (0.4987, 0.5013, 0.5941)
Br (0.5013, 0.4987, 0.0941)
Br (0.6503, 0.3497, 0.3166)
Br (0.6948, 0.3052, 0.6876)
Br (0.7154, 0.2846, 0.9721)
Br (0.9498, 0.0502, 0.3638)

---

Entry 2:
The following is a GGA-PBE calculation of a geometry-optimized CaCuN2O structure, from Alexandria via LeMat-Bulk.

Output
DOS at the Fermi energy   1.098 states/eV/atom
Final energy   -5.27 eV/atom
Magnetization   0.08 μB per formula unit

a b c (Å): 3.7322 3.7322 4.1166
angles (deg): 90.00 90.00 90.00
Fractional coordinates of all 5 atoms:
Ca (0.0000, 0.0000, 0.0000)
Cu (0.5000, 0.5000, 0.5000)
N (0.0000, 0.5000, 0.5000)
N (0.5000, 0.0000, 0.5000)
O (0.5000, 0.5000, 0.0000)

---

Entry 3:
The following is a GGA-PBE calculation of a geometry-optimized Al3Ni2 structure, from Alexandria via LeMat-Bulk.

Output
ΔH_f (0 K)   -9.57 kcal/mol of atoms
DOS at the Fermi energy   0.399 states/eV/atom
Final energy   -4.97 eV/atom
Magnetization   0.00 μB per formula unit

a b c (Å): 6.6629 5.0386 7.6664
angles (deg): 59.02 40.42 80.56
Fractional coordinates of all 10 atoms:
Al (0.0000, 0.0000, 0.0000)
Al (0.2500, 0.2500, 0.2500)
Al (0.3512, 0.6564, 0.4330)
Al (0.6564, 0.3512, 0.5594)
Al (0.6906, 0.8170, 0.5936)
Al (0.8170, 0.6906, 0.8988)
Ni (0.1111, 0.4410, 0.0012)
Ni (0.2488, 0.8033, 0.1389)
Ni (0.4410, 0.1111, 0.4467)
Ni (0.8033, 0.2488, 0.8090)

---

Entry 4:
The following is a GGA-PBE calculation of a geometry-optimized Sr2LiBe structure, from Alexandria via LeMat-Bulk.

Output
ΔH_f (0 K)   6.57 kcal/mol of atoms
DOS at the Fermi energy   0.887 states/eV/atom
Final energy   -1.97 eV/atom
Magnetization   0.00 μB per formula unit

a b c (Å): 4.4982 4.7756 6.4605
angles (deg): 90.00 110.23 90.00
Fractional coordinates of all 4 atoms:
Sr (0.0000, 0.0000, 0.0000)
Sr (0.2846, 0.5000, 0.5691)
Li (0.6924, 0.0000, 0.3848)
Be (0.5833, 0.5000, 0.1675)

---

Entry 5:
The following is a GGA-PBE calculation of a geometry-optimized Sr2PaCr2N6 structure, from Alexandria via LeMat-Bulk.

Output
DOS at the Fermi energy   0.352 states/eV/atom
Final energy   -8.41 eV/atom
Magnetization   0.00 μB per formula unit

a b c (Å): 5.9136 5.9136 6.7818
angles (deg): 118.17 118.17 59.38
Fractional coordinates of all 11 atoms:
Sr (0.2140, 0.2140, 0.1871)
Sr (0.7860, 0.7860, 0.8129)
Pa (0.0000, 0.0000, 0.5000)
Cr (0.4618, 0.4618, 0.7981)
Cr (0.5382, 0.5382, 0.2019)
N (0.2042, 0.6991, 0.2201)
N (0.2644, 0.2644, 0.6435)
N (0.3009, 0.7958, 0.7799)
N (0.6991, 0.2042, 0.2201)
N (0.7356, 0.7356, 0.3565)
N (0.7958, 0.3009, 0.7799)

---

Entry 6:
The following is a GGA-PBE calculation of a geometry-optimized RbHgBi2 structure, from Alexandria via LeMat-Bulk.

Output
ΔH_f (0 K)   -1.37 kcal/mol of atoms
DOS at the Fermi energy   0.900 states/eV/atom
Final energy   -2.32 eV/atom
Magnetization   0.00 μB per formula unit

a b c (Å): 11.5651 11.5651 11.5651
angles (deg): 152.33 152.33 39.54
Fractional coordinates of all 8 atoms:
Rb (0.0000, 0.0000, 0.0000)
Rb (0.7500, 0.2500, 0.5000)
Hg (0.2500, 0.7500, 0.5000)
Hg (0.5000, 0.5000, 0.0000)
Bi (0.2326, 0.6250, 0.1076)
Bi (0.3750, 0.4826, 0.6076)
Bi (0.5174, 0.1250, 0.8924)
Bi (0.8750, 0.7674, 0.3924)

---

Entry 7:
The following is a GGA-PBE calculation of a geometry-optimized Ba3In8Bi3 structure, from Alexandria via LeMat-Bulk.

Output
ΔH_f (0 K)   -8.38 kcal/mol of atoms
DOS at the Fermi energy   0.422 states/eV/atom
Final energy   -3.17 eV/atom
Magnetization   0.00 μB per formula unit

a b c (Å): 9.9471 9.9471 9.9471
angles (deg): 150.03 109.12 78.82
Fractional coordinates of all 14 atoms:
Ba (0.0000, 0.0000, 0.0000)
Ba (0.3204, 0.3204, 0.0000)
Ba (0.6796, 0.6796, 0.0000)
In (0.0436, 0.6711, 0.3725)
In (0.1196, 0.8529, 0.2667)
In (0.2986, 0.6711, 0.6275)
In (0.4138, 0.1471, 0.2667)
In (0.5862, 0.8529, 0.7333)
In (0.7014, 0.3289, 0.3725)
In (0.8804, 0.1471, 0.7333)
In (0.9564, 0.3289, 0.6275)
Bi (0.2772, 0.5000, 0.7772)
Bi (0.5000, 0.0000, 0.5000)
Bi (0.7228, 0.5000, 0.2228)

---

Entry 8:
The following is a GGA-PBE calculation of a geometry-optimized YBTe structure, from Alexandria via LeMat-Bulk.

Output
DOS at the Fermi energy   0.169 states/eV/atom
Final energy   -5.93 eV/atom
Magnetization   0.00 μB per formula unit

a b c (Å): 3.9630 3.9630 9.1811
angles (deg): 97.33 97.33 92.40
Fractional coordinates of all 6 atoms:
Y (0.1599, 0.1599, 0.1635)
Y (0.8401, 0.8401, 0.8365)
B (0.3649, 0.3649, 0.9413)
B (0.6351, 0.6351, 0.0587)
Te (0.3022, 0.3022, 0.6817)
Te (0.6978, 0.6978, 0.3183)

---

Entry 9:
The following is a GGA-PBE calculation of a geometry-optimized Pm2Sm2Dy4Tm structure, from Alexandria via LeMat-Bulk.

Output
ΔH_f (0 K)   0.09 kcal/mol of atoms
DOS at the Fermi energy   1.326 states/eV/atom
Final energy   -4.64 eV/atom
Magnetization   0.00 μB per formula unit

a b c (Å): 9.5426 9.5426 9.6042
angles (deg): 115.22 115.22 21.80
Fractional coordinates of all 9 atoms:
Pm (0.1652, 0.1652, 0.0006)
Pm (0.8348, 0.8348, 0.9994)
Sm (0.3526, 0.3526, 0.3362)
Sm (0.6474, 0.6474, 0.6638)
Dy (0.0189, 0.0189, 0.3313)
Dy (0.3153, 0.3153, 0.6655)
Dy (0.6847, 0.6847, 0.3345)
Dy (0.9811, 0.9811, 0.6687)
Tm (0.5000, 0.5000, 0.0000)

---

Entry 10:
The following is a GGA-PBE calculation of a geometry-optimized NaCa2PbN structure, from Alexandria via LeMat-Bulk.

Output
DOS at the Fermi energy   0.553 states/eV/atom
Final energy   -3.88 eV/atom
Magnetization   0.00 μB per formula unit

a b c (Å): 4.8241 4.8241 5.1642
angles (deg): 90.00 90.00 90.00
Fractional coordinates of all 5 atoms:
Na (0.0000, 0.0000, 0.0000)
Ca (0.0000, 0.5000, 0.5000)
Ca (0.5000, 0.0000, 0.5000)
Pb (0.5000, 0.5000, 0.0000)
N (0.0000, 0.0000, 0.5000)

---

Entry 11:
The following is a GGA-PBE calculation of a geometry-optimized PuMoN structure, from Alexandria via LeMat-Bulk.

Output
DOS at the Fermi energy   2.515 states/eV/atom
Final energy   -10.60 eV/atom
Energy above the lowest structure with this stoichiometry   648 meV/atom
Magnetization   4.39 μB per formula unit

a b c (Å): 4.5941 4.5941 4.5941
angles (deg): 129.84 129.84 73.67
Fractional coordinates of all 3 atoms:
Pu (0.0000, 0.0000, 0.0000)
Mo (0.4511, 0.4511, 0.0000)
N (0.7010, 0.7010, 0.0000)

---

Entry 12:
The following is a GGA-PBE calculation of a geometry-optimized CdCuRe2 structure, from Alexandria via LeMat-Bulk.

Output
ΔH_f (0 K)   14.61 kcal/mol of atoms
DOS at the Fermi energy   0.939 states/eV/atom
Final energy   -6.84 eV/atom
Magnetization   0.00 μB per formula unit

a b c (Å): 3.7238 3.7238 4.5033
angles (deg): 90.00 90.00 90.00
Fractional coordinates of all 4 atoms:
Cd (0.0000, 0.0000, 0.0000)
Cu (0.5000, 0.5000, 0.0000)
Re (0.0000, 0.5000, 0.5000)
Re (0.5000, 0.0000, 0.5000)

---

Q: Look up the magnetization of the sixth one.
A: 0.00 μB per formula unit

---

Q: Which formula does entry 12 have?
A: CdCuRe2

---

Q: Which value of final energy does entry 7 give?
A: -3.17 eV/atom

---

Q: What is the final energy in the seventh record?
A: -3.17 eV/atom